Record 1
Rb4Nd3GaO8 | PBE | relaxed

Output
**Density**: 5.49 g cm⁻³
**E_form (uncorrected)**: -2.22 eV per atom

Cell: 12.6543 7.0191 7.7208 Å, 90.00 120.99 90.00°
Space group C2/m (No. 12)
One atom of each set of equivalent atoms:
Rb  0.0000  0.0000  0.0000 x2
Rb  0.0000  0.5000  0.0000 x2
Rb  0.2500  0.2500  0.0000 x4
Nd  0.0000  0.0000  0.5000 x2
Nd  0.2500  0.2500  0.5000 x4
Ga  0.0000  0.5000  0.5000 x2
O  0.0229  0.2868  0.3403 x8
O  0.2200  0.0000  0.6813 x4
O  0.2431  0.0000  0.2897 x4



Record 2
NdGa2ReO8 | PBE | relaxed

Output
**Density**: 6.42 g cm⁻³
**E_form (uncorrected)**: -1.94 eV per atom

Cell: 7.2662 6.3788 6.7537 Å, 90.00 98.95 90.00°
Space group C2/m (No. 12)
One atom of each set of equivalent atoms:
Nd  0.0000  0.0000  0.0000 x2
Ga  0.0465  0.5000  0.2179 x4
Re  0.0000  0.0000  0.5000 x2
O  0.0038  0.2066  0.2950 x8
O  0.1742  0.5000  0.9899 x4
O  0.2413  0.5000  0.4483 x4



Record 3
Nd2GaRhO6 | PBE | relaxed

Output
**Density**: 7.48 g cm⁻³
**E_form (uncorrected)**: -2.17 eV per atom

Cell: 5.4875 7.8840 5.7148 Å, 90.00 90.00 90.00°
Space group Pmmn (No. 59, origin choice 2)
One atom of each set of equivalent atoms:
Nd  0.2500  0.0238  0.2208 x4
Ga  0.2500  0.7500  0.7464 x2
Rh  0.2500  0.2500  0.7406 x2
O  0.0077  0.2500  0.0074 x4
O  0.0174  0.2500  0.4653 x4
O  0.2500  0.5050  0.7860 x4



Record 4
NdGa2RuO8 | PBE | relaxed

Output
**Density**: 5.86 g cm⁻³
**E_form (uncorrected)**: -1.54 eV per atom

Cell: 4.7065 6.5127 4.7386 Å, 90.00 90.83 90.00°
Space group P2/m (No. 10)
One atom of each set of equivalent atoms:
Nd  0.0000  0.0000  0.0000 x1
Ga  0.5000  0.2606  0.5000 x2
Ru  0.0000  0.5000  0.0000 x1
O  0.2088  0.2926  0.2001 x4
O  0.2910  0.5000  0.7019 x2
O  0.3288  0.0000  0.6617 x2



Record 5
Nd2ScGaO6 | PBE | relaxed

Output
**Density**: 6.58 g cm⁻³
**E_form (uncorrected)**: -3.05 eV per atom

Cell: 5.5373 5.7274 9.6566 Å, 90.00 124.67 90.00°
Space group P2_1/c (No. 14)
One atom of each set of equivalent atoms:
Nd  0.2346  0.0547  0.2495 x4
Sc  0.5000  0.0000  0.0000 x2
Ga  0.0000  0.0000  0.5000 x2
O  0.1448  0.2081  0.9471 x4
O  0.2391  0.6989  0.9482 x4
O  0.3429  0.0316  0.7443 x4



Record 6
Nd3Ga5SiO14 | PBE | relaxed

Output
**Density**: 5.82 g cm⁻³
**E_form (uncorrected)**: -2.52 eV per atom

Cell: 8.1704 8.1704 5.0979 Å, 90.00 90.00 120.00°
Space group P3 (No. 143)
One atom of each set of equivalent atoms:
Nd  0.0017  0.5826  0.0000 x3
Ga  0.0000  0.0000  0.9828 x1
Ga  0.2356  0.0012  0.4961 x3
Ga  0.3333  0.6667  0.5106 x1
Si  0.6667  0.3333  0.4362 x1
O  0.1044  0.8723  0.2022 x3
O  0.1180  0.4710  0.6644 x3
O  0.2151  0.1637  0.7284 x3
O  0.3333  0.6667  0.1509 x1
O  0.4661  0.1777  0.2917 x3
O  0.6667  0.3333  0.7555 x1